Material: RbZr2P
Method: DFT, GGA-PBE
State: optimized geometry Values from VASP.

Values from the calculation:
M_tot   0.000 μB/cell
N(E_F)   7.2 states/eV/cell
DFT total energy   -5.429 eV per atom
Volume   33.7 A^3/atom
Density   3.7 g/cm3

Structure (Quantum ESPRESSO input):
```
&SYSTEM
  ibrav = 0, nat = 8, ntyp = 3
/
ATOMIC_SPECIES
Zr 91.22 Zr.upf
Rb 85.47 Rb.upf
P 30.97 P.upf
CELL_PARAMETERS angstrom
5.3939 0.0000 0.0000
0.0000 5.3939 0.0000
2.6969 2.6969 9.2768
ATOMIC_POSITIONS crystal
Zr 0.8750 0.6250 0.7500
Zr 0.3750 0.6250 0.7500
Zr 0.3750 0.1250 0.2500
Zr 0.3750 0.6250 0.2500
Rb 0.0000 0.0000 0.0000
Rb 0.7500 0.2500 0.5000
P 0.2500 0.7500 0.5000
P 0.5000 0.5000 0.0000
```



Material: RbZrP3
Method: DFT, GGA-PBE
State: optimized geometry Values from VASP.

Values from the calculation:
Relative energy among the computed polymorphs   1.978 eV per atom
M_tot   0.315 μB/cell
N(E_F)   5.4 states/eV/cell
DFT total energy   -3.280 eV per atom
Volume   25.2 A^3/atom
Density   3.5 g/cm3

Structure (Quantum ESPRESSO input):
```
&SYSTEM
  ibrav = 0, nat = 5, ntyp = 3
/
ATOMIC_SPECIES
Rb 85.47 Rb.upf
P 30.97 P.upf
Zr 91.22 Zr.upf
CELL_PARAMETERS angstrom
-1.1510 2.0163 4.4451
-4.6058 1.0634 -1.6750
-1.6160 -4.4669 1.6077
ATOMIC_POSITIONS crystal
Rb 0.0000 0.0000 0.0000
P 0.5000 0.0000 0.0000
P 0.0000 0.5000 0.0000
P 0.0000 0.0000 0.5000
Zr 0.5000 0.5000 0.5000
```



Material: Rb3ZrP
Method: DFT, GGA-PBE
State: optimized geometry Values from VASP.

Values from the calculation:
Relative energy among the computed polymorphs   0.000 eV per atom
M_tot   2.000 μB/cell
N(E_F)   7.9 states/eV/cell
DFT total energy   -2.438 eV per atom
Volume   57.4 A^3/atom
Density   2.2 g/cm3

Structure (Quantum ESPRESSO input):
```
&SYSTEM
  ibrav = 0, nat = 5, ntyp = 3
/
ATOMIC_SPECIES
Rb 85.47 Rb.upf
Zr 91.22 Zr.upf
P 30.97 P.upf
CELL_PARAMETERS angstrom
-4.2596 -3.0222 -4.0262
-3.9814 -1.2054 5.1170
-3.0810 5.7360 -1.0460
ATOMIC_POSITIONS crystal
Rb 0.5000 0.0000 0.0000
Rb 0.0000 0.5000 0.0000
Rb 0.0000 0.0000 0.5000
Zr 0.5000 0.5000 0.5000
P 0.0000 0.0000 0.0000
```



Material: RbZrP2
Method: DFT, GGA-PBE
State: optimized geometry Values from VASP.

Values from the calculation:
Relative energy among the computed polymorphs   0.505 eV per atom
M_tot   0.000 μB/cell
N(E_F)   1.6 states/eV/cell
DFT total energy   -4.958 eV per atom
Volume   21.6 A^3/atom
Density   4.6 g/cm3

Structure (Quantum ESPRESSO input):
```
&SYSTEM
  ibrav = 0, nat = 4, ntyp = 3
/
ATOMIC_SPECIES
Rb 85.47 Rb.upf
P 30.97 P.upf
Zr 91.22 Zr.upf
CELL_PARAMETERS angstrom
1.5909 -2.6153 3.9060
2.9192 2.1389 3.3957
-1.7710 0.9811 4.5308
ATOMIC_POSITIONS crystal
Rb 0.0000 0.0000 0.0000
P 0.7500 0.7500 0.7500
P 0.2500 0.2500 0.2500
Zr 0.5000 0.5000 0.5000
```



Material: RbZrP2
Method: DFT, GGA-PBE
State: optimized geometry Values from VASP.

Values from the calculation:
Relative energy among the computed polymorphs   0.000 eV per atom
M_tot   0.000 μB/cell
N(E_F)   2.0 states/eV/cell
DFT total energy   -5.463 eV per atom
Volume   36.7 A^3/atom
Density   2.7 g/cm3

Structure (Quantum ESPRESSO input):
```
&SYSTEM
  ibrav = 0, nat = 8, ntyp = 3
/
ATOMIC_SPECIES
P 30.97 P.upf
Zr 91.22 Zr.upf
Rb 85.47 Rb.upf
CELL_PARAMETERS angstrom
6.1473 0.0000 0.0000
0.0000 6.1473 0.0000
3.0737 3.0737 7.7606
ATOMIC_POSITIONS crystal
P 0.8746 0.1250 0.2500
P 0.3750 0.1254 0.7500
P 0.8750 0.1246 0.7500
P 0.8754 0.6250 0.2500
Zr 0.7500 0.2500 0.5000
Zr 0.0000 0.0000 0.0000
Rb 0.5000 0.5000 0.0000
Rb 0.2500 0.7500 0.5000
```



Material: RbZr2P2
Method: DFT, GGA-PBE
State: optimized geometry Values from VASP.

Values from the calculation:
Relative energy among the computed polymorphs   0.000 eV per atom
M_tot   0.000 μB/cell
N(E_F)   2.5 states/eV/cell
DFT total energy   -6.561 eV per atom
Volume   29.6 A^3/atom
Density   3.7 g/cm3

Structure (Quantum ESPRESSO input):
```
&SYSTEM
  ibrav = 0, nat = 5, ntyp = 3
/
ATOMIC_SPECIES
Zr 91.22 Zr.upf
Rb 85.47 Rb.upf
P 30.97 P.upf
CELL_PARAMETERS angstrom
4.5337 0.0000 0.0000
0.0000 4.5337 0.0000
2.2668 2.2668 7.1891
ATOMIC_POSITIONS crystal
Zr 0.2500 0.7500 0.5000
Zr 0.7500 0.2500 0.5000
Rb 0.0000 0.0000 0.0000
P 0.6604 0.6604 0.6791
P 0.3396 0.3396 0.3209
```



Material: RbZrP3
Method: DFT, GGA-PBE
State: optimized geometry Values from VASP.

Values from the calculation:
Relative energy among the computed polymorphs   0.000 eV per atom
M_tot   0.000 μB/cell
N(E_F)   5.1 states/eV/cell
DFT total energy   -5.258 eV per atom
Volume   27.0 A^3/atom
Density   3.3 g/cm3

Structure (Quantum ESPRESSO input):
```
&SYSTEM
  ibrav = 0, nat = 5, ntyp = 3
/
ATOMIC_SPECIES
Rb 85.47 Rb.upf
P 30.97 P.upf
Zr 91.22 Zr.upf
CELL_PARAMETERS angstrom
-0.9282 -3.6895 3.4415
4.5737 -2.0926 -1.0099
2.1301 2.8855 3.6679
ATOMIC_POSITIONS crystal
Rb 0.5000 0.5000 0.5000
P 0.0000 0.0000 0.5000
P 0.5000 0.0000 0.0000
P 0.0000 0.5000 0.0000
Zr 0.0000 0.0000 0.0000
```



Material: Re3P4
Method: DFT, GGA-PBE
State: optimized geometry Values from VASP.

Values from the calculation:
Relative energy among the computed polymorphs   0.493 eV per atom
M_tot   0.000 μB/cell
N(E_F)   5.8 states/eV/cell
DFT total energy   -8.315 eV per atom
Volume   13.8 A^3/atom
Density   11.7 g/cm3

Structure (Quantum ESPRESSO input):
```
&SYSTEM
  ibrav = 0, nat = 7, ntyp = 2
/
ATOMIC_SPECIES
P 30.97 P.upf
Re 186.21 Re.upf
CELL_PARAMETERS angstrom
-0.3509 0.9398 9.7490
-2.3203 4.7060 8.2777
-0.6615 -3.8563 -8.9856
ATOMIC_POSITIONS crystal
P 0.5675 0.5675 0.0000
P 0.1478 0.1478 0.0000
P 0.8522 0.8522 0.0000
P 0.4325 0.4325 0.0000
Re 0.3050 0.3050 0.0000
Re 0.0000 0.0000 0.0000
Re 0.6950 0.6950 0.0000
```



Material: ReP2
Method: DFT, GGA-PBE
State: optimized geometry Values from VASP.

Values from the calculation:
M_tot   0.000 μB/cell
N(E_F)   1.6 states/eV/cell
DFT total energy   -7.758 eV per atom
Volume   14.6 A^3/atom
Density   9.4 g/cm3

Structure (Quantum ESPRESSO input):
```
&SYSTEM
  ibrav = 0, nat = 6, ntyp = 2
/
ATOMIC_SPECIES
Re 186.21 Re.upf
P 30.97 P.upf
CELL_PARAMETERS angstrom
-3.7232 2.4699 9.2847
-3.3472 6.2215 7.5005
1.5908 -4.5019 -9.1308
ATOMIC_POSITIONS crystal
Re 0.0000 0.0000 0.0000
Re 0.7500 0.2500 0.5000
P 0.3212 0.8212 0.5000
P 0.4288 0.4288 0.0000
P 0.5712 0.5712 0.0000
P 0.1788 0.6788 0.5000
```



Material: ReP2
Method: DFT, GGA-PBE
State: optimized geometry Values from VASP.

Values from the calculation:
M_tot   0.000 μB/cell
N(E_F)   2.7 states/eV/cell
DFT total energy   -7.906 eV per atom
Volume   15.4 A^3/atom
Density   8.9 g/cm3

Structure (Quantum ESPRESSO input):
```
&SYSTEM
  ibrav = 0, nat = 6, ntyp = 2
/
ATOMIC_SPECIES
P 30.97 P.upf
Re 186.21 Re.upf
CELL_PARAMETERS angstrom
-1.2356 1.5077 5.5540
-0.3338 -1.3757 5.7134
4.6672 1.6611 3.6428
ATOMIC_POSITIONS crystal
P 0.6359 0.6359 0.1529
P 0.9259 0.9259 0.2818
P 0.0741 0.0741 0.7182
P 0.3641 0.3641 0.8471
Re 0.2560 0.2560 0.2998
Re 0.7440 0.7440 0.7002
```



Material: Re2P
Method: DFT, GGA-PBE
State: optimized geometry Values from VASP.

Values from the calculation:
Relative energy among the computed polymorphs   0.486 eV per atom
M_tot   0.000 μB/cell
N(E_F)   1.8 states/eV/cell
DFT total energy   -9.906 eV per atom
Volume   14.3 A^3/atom
Density   15.6 g/cm3

Structure (Quantum ESPRESSO input):
```
&SYSTEM
  ibrav = 0, nat = 3, ntyp = 2
/
ATOMIC_SPECIES
Re 186.21 Re.upf
P 30.97 P.upf
CELL_PARAMETERS angstrom
-1.2265 -3.1389 2.9115
1.0701 1.0498 4.1936
-2.3614 1.4446 -3.4886
ATOMIC_POSITIONS crystal
Re 0.6740 0.6740 0.0000
Re 0.3260 0.3260 0.0000
P 0.0000 0.0000 0.0000
```



Material: Re2P
Method: DFT, GGA-PBE
State: optimized geometry Values from VASP.

Values from the calculation:
Relative energy among the computed polymorphs   0.008 eV per atom
M_tot   0.000 μB/cell
N(E_F)   2.3 states/eV/cell
DFT total energy   -10.385 eV per atom
Volume   14.0 A^3/atom
Density   16.0 g/cm3

Structure (Quantum ESPRESSO input):
```
&SYSTEM
  ibrav = 0, nat = 6, ntyp = 2
/
ATOMIC_SPECIES
Re 186.21 Re.upf
P 30.97 P.upf
CELL_PARAMETERS angstrom
5.4034 -0.0015 -0.0008
4.5892 2.8523 -0.0008
1.0943 0.3122 5.4368
ATOMIC_POSITIONS crystal
Re 0.9346 0.9346 0.5850
Re 0.6574 0.6574 0.6540
Re 0.2870 0.2870 0.9571
Re 0.0098 0.0098 0.0262
P 0.3216 0.3216 0.3676
P 0.6229 0.6229 0.2435
```



Material: ReP2
Method: DFT, GGA-PBE
State: optimized geometry Values from VASP.

Values from the calculation:
M_tot   0.000 μB/cell
N(E_F)   1.8 states/eV/cell
DFT total energy   -7.820 eV per atom
Volume   15.4 A^3/atom
Density   8.9 g/cm3

Structure (Quantum ESPRESSO input):
```
&SYSTEM
  ibrav = 0, nat = 6, ntyp = 2
/
ATOMIC_SPECIES
P 30.97 P.upf
Re 186.21 Re.upf
CELL_PARAMETERS angstrom
1.5450 -3.4306 -2.3960
3.2511 -0.9195 -2.9124
4.6952 -2.1640 4.9882
ATOMIC_POSITIONS crystal
P 0.6691 0.6691 0.6539
P 0.9088 0.9088 0.9907
P 0.4260 0.4260 0.3879
P 0.6739 0.6739 0.2155
Re 0.9570 0.9570 0.6481
Re 0.1986 0.1986 0.9373
```